Entry 1:
Compound: CsIn2GaPb4
Source: Alexandria via LeMat-Bulk
Functional: PBE-GGA
Structure: optimized geometry

abc: 10.781 10.781 10.781
angles: 30.28 30.28 30.28
Fractional coordinates of all 8 atoms:
Cs1 0.000 0.000 0.000
In1 0.234 0.234 0.234
In2 0.766 0.766 0.766
Ga1 0.500 0.500 0.500
Pb1 0.130 0.130 0.130
Pb2 0.412 0.412 0.412
Pb3 0.588 0.588 0.588
Pb4 0.870 0.870 0.870

spin magnetization = 0.00 μB per formula unit
calculated formation energy = -0.147 eV per formula unit
crystal system = trigonal


Entry 2:
Compound: CsInGa2Pt
Source: Alexandria via LeMat-Bulk
Functional: PBE-GGA
Structure: optimized geometry

abc: 5.049 5.049 5.403
angles: 90.00 90.00 90.00
Fractional coordinates of all 5 atoms:
Cs1 0.000 0.000 0.000
In1 0.500 0.500 0.000
Ga1 0.000 0.500 0.500
Ga2 0.500 0.000 0.500
Pt1 0.500 0.500 0.500

spin magnetization = 0.00 μB per formula unit
calculated formation energy = -0.791 eV per formula unit
crystal system = tetragonal


Entry 3:
Compound: CsInGaPt
Source: Alexandria via LeMat-Bulk
Functional: PBE-GGA
Structure: optimized geometry

abc: 7.557 7.557 7.557
angles: 34.78 34.78 34.78
Fractional coordinates of all 4 atoms:
Cs1 0.000 0.000 0.000
In1 0.811 0.811 0.811
Ga1 0.536 0.536 0.536
Pt1 0.190 0.190 0.190

spin magnetization = 0.00 μB per formula unit
calculated formation energy = -1.435 eV per formula unit
crystal system = trigonal


Entry 4:
Compound: CsRb2InGa
Source: Alexandria via LeMat-Bulk
Functional: PBE-GGA
Structure: optimized geometry

abc: 7.184 7.184 5.296
angles: 90.00 90.00 90.00
Fractional coordinates of all 5 atoms:
Cs1 0.000 0.000 0.000
Rb1 0.000 0.500 0.500
Rb2 0.500 0.000 0.500
In1 0.500 0.500 0.000
Ga1 0.500 0.500 0.500

spin magnetization = 0.32 μB per formula unit
calculated formation energy = 0.390 eV per formula unit
crystal system = tetragonal


Entry 5:
Compound: Cs2RbInGa
Source: Alexandria via LeMat-Bulk
Functional: PBE-GGA
Structure: optimized geometry

abc: 7.633 7.633 5.221
angles: 90.00 90.00 90.00
Fractional coordinates of all 5 atoms:
Cs1 0.000 0.500 0.000
Cs2 0.500 0.000 0.000
Rb1 0.000 0.000 0.500
In1 0.500 0.500 0.500
Ga1 0.500 0.500 0.000

spin magnetization = 0.00 μB per formula unit
calculated formation energy = 0.459 eV per formula unit
crystal system = tetragonal


Entry 6:
Compound: CsInGaS4
Source: Alexandria via LeMat-Bulk
Functional: PBE-GGA
Structure: optimized geometry

abc: 6.551 6.448 10.268
angles: 90.00 103.89 90.00
Fractional coordinates of all 14 atoms:
Cs1 0.230 0.250 0.055
Cs2 0.770 0.750 0.945
In1 0.284 0.250 0.663
In2 0.716 0.750 0.337
Ga1 0.212 0.750 0.319
Ga2 0.788 0.250 0.681
S1 0.028 0.516 0.700
S2 0.028 0.984 0.700
S3 0.388 0.750 0.150
S4 0.498 0.750 0.507
S5 0.502 0.250 0.493
S6 0.612 0.250 0.850
S7 0.972 0.016 0.300
S8 0.972 0.484 0.300

spin magnetization = 0.00 μB per formula unit
energy relative to the elements, uncorrected = -646 meV/atom
crystal system = monoclinic


Entry 7:
Compound: CsInGaSb2
Source: Alexandria via LeMat-Bulk
Functional: PBE-GGA
Structure: optimized geometry

abc: 8.570 8.570 8.570
angles: 147.09 147.09 47.23
Fractional coordinates of all 5 atoms:
Cs1 0.000 0.000 0.000
In1 0.750 0.250 0.500
Ga1 0.250 0.750 0.500
Sb1 0.354 0.354 0.000
Sb2 0.646 0.646 0.000

spin magnetization = 0.00 μB per formula unit
energy relative to the elements, uncorrected = -289 meV/atom
crystal system = tetragonal


Entry 8:
Compound: Cs2InGaSb2
Source: Alexandria via LeMat-Bulk
Functional: PBE-GGA
Structure: optimized geometry

abc: 9.970 9.970 9.970
angles: 135.68 64.42 135.76
Fractional coordinates of all 12 atoms:
Cs1 0.167 0.247 0.414
Cs2 0.333 0.747 0.079
Cs3 0.667 0.253 0.921
Cs4 0.833 0.753 0.586
In1 0.250 0.750 0.500
In2 0.750 0.250 0.500
Ga1 0.250 0.250 0.000
Ga2 0.750 0.750 0.000
Sb1 0.083 0.762 0.846
Sb2 0.417 0.262 0.679
Sb3 0.583 0.738 0.321
Sb4 0.917 0.238 0.154

spin magnetization = 0.00 μB per formula unit
energy relative to the elements, uncorrected = -352 meV/atom
crystal system = orthorhombic


Entry 9:
Compound: CsIn2GaSb2
Source: Alexandria via LeMat-Bulk
Functional: PBE-GGA
Structure: optimized geometry

abc: 6.835 12.464 4.987
angles: 90.00 90.00 90.00
Fractional coordinates of all 12 atoms:
Cs1 0.000 0.000 0.000
Cs2 0.500 0.500 0.500
In1 0.237 0.314 0.000
In2 0.263 0.814 0.500
In3 0.737 0.186 0.500
In4 0.763 0.686 0.000
Ga1 0.000 0.500 0.000
Ga2 0.500 0.000 0.500
Sb1 0.173 0.193 0.500
Sb2 0.327 0.693 0.000
Sb3 0.673 0.307 0.000
Sb4 0.827 0.807 0.500

spin magnetization = 0.00 μB per formula unit
energy relative to the elements, uncorrected = -68 meV/atom
crystal system = orthorhombic


Entry 10:
Compound: Cs2InGaSe4
Source: Alexandria via LeMat-Bulk
Functional: PBE-GGA
Structure: optimized geometry

abc: 14.782 13.182 8.104
angles: 84.38 62.56 33.07
Fractional coordinates of all 16 atoms:
Cs1 0.056 0.056 0.694
Cs2 0.306 0.306 0.944
Cs3 0.694 0.694 0.056
Cs4 0.944 0.944 0.306
In1 0.125 0.125 0.125
In2 0.875 0.875 0.875
Ga1 0.375 0.375 0.375
Ga2 0.625 0.625 0.625
Se1 0.005 0.352 0.433
Se2 0.290 0.567 0.648
Se3 0.352 0.005 0.710
Se4 0.433 0.710 0.005
Se5 0.567 0.290 0.995
Se6 0.648 0.995 0.290
Se7 0.710 0.433 0.352
Se8 0.995 0.648 0.567

spin magnetization = 0.00 μB per formula unit
energy relative to the elements, uncorrected = -949 meV/atom
crystal system = orthorhombic


Entry 11:
Compound: CsInGa2Sn
Source: Alexandria via LeMat-Bulk
Functional: PBE-GGA
Structure: optimized geometry

abc: 6.850 6.850 6.850
angles: 137.28 136.42 62.67
Fractional coordinates of all 5 atoms:
Cs1 0.000 0.000 0.000
In1 0.260 0.760 0.500
Ga1 0.376 0.376 0.000
Ga2 0.761 0.261 0.500
Sn1 0.621 0.621 0.000

spin magnetization = 0.00 μB per formula unit
calculated formation energy = -0.596 eV per formula unit
crystal system = orthorhombic


Entry 12:
Compound: Cs2InGa3Sn4
Source: Alexandria via LeMat-Bulk
Functional: PBE-GGA
Structure: optimized geometry

abc: 5.151 5.151 11.517
angles: 90.00 90.00 90.00
Fractional coordinates of all 10 atoms:
Cs1 0.000 0.500 0.249
Cs2 0.500 0.000 0.751
In1 0.500 0.500 0.000
Ga1 0.000 0.000 0.000
Ga2 0.000 0.500 0.622
Ga3 0.500 0.000 0.378
Sn1 0.000 0.000 0.500
Sn2 0.000 0.500 0.868
Sn3 0.500 0.000 0.132
Sn4 0.500 0.500 0.500

spin magnetization = 0.00 μB per formula unit
calculated formation energy = -1.468 eV per formula unit
crystal system = tetragonal


Entry 13:
Compound: CsInGaSn2
Source: Alexandria via LeMat-Bulk
Functional: PBE-GGA
Structure: optimized geometry

abc: 6.872 6.872 6.872
angles: 134.71 134.71 65.98
Fractional coordinates of all 5 atoms:
Cs1 0.000 0.000 0.000
In1 0.750 0.250 0.500
Ga1 0.250 0.750 0.500
Sn1 0.371 0.371 0.000
Sn2 0.629 0.629 0.000

spin magnetization = 0.00 μB per formula unit
calculated formation energy = -0.759 eV per formula unit
crystal system = tetragonal